{
  "formula": "NaPmGa2",
  "functional": "PBE",
  "state": "optimized geometry",
  "density_g_cm3": 5.375,
  "m_tot_mub_per_fu": 0.00,
  "polymorph_energy_ev_per_atom": 0.0000,
  "e_tot_ev_per_atom": -3.335,
  "dos_at_fermi_per_ev_fu": 2.0,
  "ef_ev_per_atom": -0.30,
  "lattice_angstrom": [[3.780, 0.000, 0.000], [0.000, 5.013, 0.000], [0.000, 0.000, 5.013]],
  "species": ["Ga", "Ga", "Pm", "Na"],
  "fractional_positions": [[0.000, 0.500, 0.000], [0.000, 0.000, 0.500], [0.500, 0.500, 0.500], [0.500, 0.000, 0.000]]
}